Material: AcCePu2
Method: DFT, GGA-PBE
State: optimized geometry

Output
calculated density: 10.64 Mg/m³
calculated formation energy: 0.610 eV/atom

Unit cell a=4.0093 b=4.0093 c=28.7624 alpha=90.00 beta=90.00 gamma=120.00
Space group R-3m (No. 166, hexagonal axes)
Inequivalent atoms, fractional coordinates:
Ac: 0.0000 0.0000 0.0000
Ce: 0.0000 0.0000 0.5000
Pu: 0.0000 0.0000 0.1175

Material: NbCd3N
Method: DFT, GGA-PBE
State: optimized geometry

Output
calculated density: 7.56 Mg/m³
formation energy (no corrections): 0.96 eV per atom
distance to the lowest polymorph of the same formula: 0 meV per atom

Unit cell a=4.6029 b=4.6029 c=4.6029 alpha=90.00 beta=90.00 gamma=90.00
Space group Pm-3m (No. 221)
Inequivalent atoms, fractional coordinates:
Nb: 0.0000 0.0000 0.0000
Cd: 0.0000 0.5000 0.5000
N: 0.5000 0.5000 0.5000

Material: NaMgGe2
Method: DFT, GGA-PBE
State: optimized geometry

Output
calculated density: 3.32 Mg/m³
calculated formation energy: 0.151 eV/atom

Unit cell a=4.5304 b=4.5304 c=18.7458 alpha=90.00 beta=90.00 gamma=90.00
Space group I-42d (No. 122)
Inequivalent atoms, fractional coordinates:
Na: 0.0000 0.0000 0.0000
Mg: 0.0000 0.0000 0.5000
Ge: 0.1722 0.2500 0.6250

Material: BiP3I
Method: DFT, GGA-PBE
State: optimized geometry

Output
calculated density: 5.38 Mg/m³
formation energy (no corrections): 1.34 eV per atom
distance to the lowest polymorph of the same formula: 0 meV per atom

Unit cell a=5.0947 b=5.0947 c=5.0947 alpha=90.00 beta=90.00 gamma=90.00
Space group Pm-3m (No. 221)
Inequivalent atoms, fractional coordinates:
Bi: 0.0000 0.0000 0.0000
P: 0.0000 0.5000 0.5000
I: 0.5000 0.5000 0.5000

no.,DOS(E_F) (states/eV per atom),calculated total energy (eV/atom),size of the total moment (μB per formula unit)
1,2.79,-9.07,12.18
2,0.79,-3.27,2.91
3,0.51,-2.89,0.00
4,0.65,-2.99,0.00